Here is a relaxed SrCa2NdCd4 crystal from Alexandria. Energies are from PBE-GGA.

Output
- Spin magnetization: 0.000 μB per formula unit
- Energy of formation from the pure elements: -344.7 meV per atom
- Uncorrected energy: -2.109 eV/atom

Cell: 5.506 5.506 9.548 Å, 73.24 73.24 60.00°
Fractional positions:
Sr 0.000 0.000 0.000
Cd 0.873 0.873 0.381
Cd 0.127 0.127 0.619
Cd 0.622 0.622 0.133
Cd 0.378 0.378 0.867
Nd 0.500 0.500 0.500
Ca 0.750 0.750 0.750
Ca 0.250 0.250 0.250

Here is a relaxed CaTbNdCd crystal from Alexandria. Energies are from PBE-GGA.

Output
- Spin magnetization: 0.000 μB per formula unit
- Energy of formation from the pure elements: -30.2 meV per atom
- Energy above the lowest structure with this stoichiometry: 115 meV per atom
- Uncorrected energy: -3.109 eV/atom

Cell: 5.581 5.581 5.581 Å, 60.00 60.00 60.00°
Fractional positions:
Cd 0.750 0.750 0.750
Ca 0.250 0.250 0.250
Nd 0.000 0.000 0.000
Tb 0.500 0.500 0.500

Here is a relaxed CaTbNdCd crystal from Alexandria. Energies are from PBE-GGA.

Output
- Spin magnetization: 0.000 μB per formula unit
- Energy of formation from the pure elements: -144.8 meV per atom
- Energy above the lowest structure with this stoichiometry: 0 meV per atom
- Uncorrected energy: -3.224 eV/atom

Cell: 3.654 3.654 9.518 Å, 90.00 90.00 90.00°
Fractional positions:
Ca 0.500 0.500 0.782
Nd 0.000 0.000 0.091
Tb 0.500 0.500 0.352
Cd 0.000 0.000 0.560

Here is a relaxed CaNdTlCd crystal from Alexandria. Energies are from PBE-GGA.

Output
- Spin magnetization: 0.000 μB per formula unit
- Energy of formation from the pure elements: -410.0 meV per atom
- Uncorrected energy: -2.923 eV/atom

Cell: 5.471 5.471 5.471 Å, 60.00 60.00 60.00°
Fractional positions:
Cd 0.750 0.750 0.750
Nd 0.500 0.500 0.500
Tl 0.250 0.250 0.250
Ca 0.000 0.000 0.000

Here is a relaxed Ca2NdTl2Cd2 crystal from Alexandria. Energies are from PBE-GGA.

Output
- Spin magnetization: 0.000 μB per formula unit
- Energy of formation from the pure elements: -272.5 meV per atom
- Uncorrected energy: -2.463 eV/atom

Cell: 5.045 5.045 9.897 Å, 75.23 75.23 60.00°
Fractional positions:
Ca 0.873 0.873 0.381
Cd 0.610 0.610 0.170
Ca 0.127 0.127 0.619
Nd 0.000 0.000 0.000
Cd 0.390 0.390 0.830
Tl 0.745 0.745 0.766
Tl 0.255 0.255 0.234

Here is a relaxed CaNdTm2Cd4 crystal from Alexandria. Energies are from PBE-GGA.

Output
- Spin magnetization: 0.000 μB per formula unit
- Energy of formation from the pure elements: -315.3 meV per atom
- Uncorrected energy: -2.737 eV/atom

Cell: 5.327 5.327 9.232 Å, 73.23 73.23 60.00°
Fractional positions:
Nd 0.000 0.000 0.000
Cd 0.125 0.125 0.625
Cd 0.875 0.875 0.375
Cd 0.376 0.376 0.873
Cd 0.624 0.624 0.127
Tm 0.751 0.751 0.747
Tm 0.249 0.249 0.253
Ca 0.500 0.500 0.500

Here is a relaxed CaNdTmCd crystal from Alexandria. Energies are from PBE-GGA.

Output
- Spin magnetization: 0.000 μB per formula unit
- Energy of formation from the pure elements: -8.9 meV per atom
- Uncorrected energy: -3.048 eV/atom

Cell: 5.548 5.548 5.548 Å, 60.00 60.00 60.00°
Fractional positions:
Nd 0.000 0.000 0.000
Cd 0.750 0.750 0.750
Ca 0.250 0.250 0.250
Tm 0.500 0.500 0.500

Here is a relaxed CaNdZnCd crystal from Alexandria. Energies are from PBE-GGA.

Output
- Spin magnetization: 0.190 μB per formula unit
- Energy of formation from the pure elements: -303.4 meV per atom
- Energy above the lowest structure with this stoichiometry: 14 meV per atom
- Uncorrected energy: -2.543 eV/atom

Cell: 3.757 3.757 7.596 Å, 90.00 90.00 90.00°
Fractional positions:
Zn 0.000 0.000 0.350
Nd 0.500 0.500 0.125
Cd 0.000 0.000 0.859
Ca 0.500 0.500 0.594

Here is a relaxed CaNdZnCd crystal from Alexandria. Energies are from PBE-GGA.

Output
- Spin magnetization: 0.000 μB per formula unit
- Energy of formation from the pure elements: -317.6 meV per atom
- Energy above the lowest structure with this stoichiometry: 0 meV per atom
- Uncorrected energy: -2.557 eV/atom

Cell: 5.323 5.323 5.323 Å, 60.00 60.00 60.00°
Fractional positions:
Cd 0.750 0.750 0.750
Nd 0.500 0.500 0.500
Ca 0.000 0.000 0.000
Zn 0.250 0.250 0.250

Here is a relaxed CaCd2Ni crystal from Alexandria. Energies are from PBE-GGA.

Output
- Spin magnetization: 0.000 μB per formula unit
- Energy of formation from the pure elements: -232.5 meV per atom
- Uncorrected energy: -2.636 eV/atom

Cell: 5.535 7.890 15.680 Å, 90.00 90.00 90.00°
Fractional positions:
Cd 0.954 0.446 0.213
Cd 0.246 0.443 0.961
Ca 0.045 0.250 0.638
Cd 0.454 0.946 0.287
Ni 0.736 0.750 0.186
Ni 0.035 0.750 0.931
Cd 0.954 0.054 0.213
Cd 0.754 0.557 0.039
Cd 0.746 0.557 0.539
Cd 0.546 0.446 0.713
Ca 0.455 0.250 0.138
Cd 0.454 0.554 0.287
Ni 0.535 0.250 0.569
Ca 0.750 0.250 0.894
Ca 0.750 0.250 0.394
Ca 0.250 0.750 0.606
Cd 0.546 0.054 0.713
Ca 0.955 0.750 0.362
Ni 0.236 0.250 0.314
Ca 0.545 0.750 0.862
Cd 0.754 0.943 0.039
Cd 0.254 0.057 0.461
Cd 0.046 0.946 0.787
Ni 0.264 0.250 0.814
Ni 0.764 0.750 0.686
Ni 0.965 0.250 0.069
Ca 0.250 0.750 0.106
Cd 0.746 0.943 0.539
Cd 0.046 0.554 0.787
Cd 0.254 0.443 0.461
Cd 0.246 0.057 0.961
Ni 0.465 0.750 0.431

Here is a relaxed Ca4CdNi crystal from Alexandria. Energies are from PBE-GGA.

Output
- Spin magnetization: 0.264 μB per formula unit
- Energy of formation from the pure elements: 618.7 meV per atom
- Energy above the lowest structure with this stoichiometry: 775 meV per atom
- Uncorrected energy: -1.832 eV/atom

Cell: 6.492 6.492 6.492 Å, 60.00 60.00 60.00°
Fractional positions:
Ca 0.375 0.375 0.876
Cd 0.750 0.750 0.750
Ca 0.876 0.375 0.375
Ca 0.375 0.876 0.375
Ni 0.000 0.000 0.000
Ca 0.375 0.375 0.375

Here is a relaxed Ca2CdNi crystal from Alexandria. Energies are from PBE-GGA.

Output
- Spin magnetization: 0.000 μB per formula unit
- Energy of formation from the pure elements: 11.7 meV per atom
- Uncorrected energy: -2.663 eV/atom

Cell: 5.743 5.743 5.743 Å, 134.27 134.27 66.67°
Fractional positions:
Ca 0.000 0.000 0.000
Ca 0.250 0.750 0.500
Ni 0.750 0.250 0.500
Cd 0.500 0.500 0.000

Here is a relaxed CaCd2Ni crystal from Alexandria. Energies are from PBE-GGA.

Output
- Spin magnetization: 0.000 μB per formula unit
- Energy of formation from the pure elements: -47.4 meV per atom
- Uncorrected energy: -2.451 eV/atom

Cell: 4.892 4.892 4.892 Å, 60.00 60.00 60.00°
Fractional positions:
Cd 0.250 0.250 0.250
Ni 0.750 0.750 0.750
Ca 0.500 0.500 0.500
Cd 0.000 0.000 0.000

Here is a relaxed Ca2Cd2Ni crystal from Alexandria. Energies are from PBE-GGA.

Output
- Spin magnetization: 0.000 μB per formula unit
- Energy of formation from the pure elements: -62.0 meV per atom
- Uncorrected energy: -2.385 eV/atom

Cell: 7.150 7.150 4.967 Å, 90.00 90.00 90.00°
Fractional positions:
Cd 0.857 0.643 0.000
Cd 0.643 0.143 0.000
Cd 0.357 0.857 0.000
Ca 0.177 0.677 0.500
Ca 0.823 0.323 0.500
Ni 0.000 0.000 0.000
Cd 0.143 0.357 0.000
Ca 0.323 0.177 0.500
Ni 0.500 0.500 0.000
Ca 0.677 0.823 0.500

Here is a relaxed CaCdNi2 crystal from Alexandria. Energies are from PBE-GGA.

Output
- Spin magnetization: 0.000 μB per formula unit
- Energy of formation from the pure elements: 34.0 meV per atom
- Uncorrected energy: -3.586 eV/atom

Cell: 5.516 5.516 5.516 Å, 145.87 131.73 60.44°
Fractional positions:
Ni 0.786 0.286 0.500
Ni 0.979 0.979 0.000
Ca 0.510 0.510 0.000
Cd 0.226 0.726 0.500

Here is a relaxed CaCd2Ni crystal from Alexandria. Energies are from PBE-GGA.

Output
- Spin magnetization: 0.000 μB per formula unit
- Energy of formation from the pure elements: -9.3 meV per atom
- Uncorrected energy: -2.413 eV/atom

Cell: 4.711 4.251 4.251 Å, 90.00 90.00 90.00°
Fractional positions:
Ni 0.500 0.500 0.000
Cd 0.000 0.000 0.000
Cd 0.000 0.500 0.500
Ca 0.500 0.000 0.500

Here is a relaxed CaCd2Ni crystal from Alexandria. Energies are from PBE-GGA.

Output
- Spin magnetization: 0.000 μB per formula unit
- Energy of formation from the pure elements: -100.0 meV per atom
- Uncorrected energy: -2.503 eV/atom

Cell: 5.874 5.874 5.874 Å, 146.01 130.45 61.45°
Fractional positions:
Cd 0.957 0.957 0.000
Ni 0.750 0.250 0.500
Ca 0.250 0.750 0.500
Cd 0.543 0.543 0.000

Here is a relaxed Ca2CdNi crystal from Alexandria. Energies are from PBE-GGA.

Output
- Spin magnetization: 0.000 μB per formula unit
- Energy of formation from the pure elements: -95.4 meV per atom
- Uncorrected energy: -2.770 eV/atom

Cell: 6.349 6.349 5.062 Å, 66.65 66.65 32.55°
Fractional positions:
Ca 0.245 0.245 0.255
Ni 0.765 0.765 0.736
Cd 0.444 0.444 0.555
Ca 0.045 0.045 0.954

Here is a relaxed CaCd2Ni crystal from Alexandria. Energies are from PBE-GGA.

Output
- Spin magnetization: 0.000 μB per formula unit
- Energy of formation from the pure elements: -83.8 meV per atom
- Uncorrected energy: -2.487 eV/atom

Cell: 3.413 3.413 7.204 Å, 90.00 90.00 90.00°
Fractional positions:
Cd 0.000 0.000 0.053
Ca 0.500 0.500 0.750
Cd 0.000 0.000 0.447
Ni 0.500 0.500 0.250

Here is a relaxed Ca3CdNi crystal from Alexandria. Energies are from PBE-GGA.

Output
- Spin magnetization: 0.000 μB per formula unit
- Energy of formation from the pure elements: -94.2 meV per atom
- Energy above the lowest structure with this stoichiometry: 102 meV per atom
- Uncorrected energy: -2.634 eV/atom

Cell: 5.401 5.401 5.401 Å, 90.00 90.00 90.00°
Fractional positions:
Ca 0.500 0.000 0.000
Ca 0.000 0.500 0.000
Ni 0.000 0.000 0.000
Ca 0.000 0.000 0.500
Cd 0.500 0.500 0.500

Here is a relaxed CaCd2Ni crystal from Alexandria. Energies are from PBE-GGA.

Output
- Spin magnetization: 0.000 μB per formula unit
- Energy of formation from the pure elements: -33.7 meV per atom
- Uncorrected energy: -2.437 eV/atom

Cell: 4.551 3.504 5.744 Å, 73.06 90.00 90.00°
Fractional positions:
Cd 0.000 0.106 0.035
Cd 0.000 0.394 0.465
Ni 0.500 0.250 0.250
Ca 0.500 0.750 0.750

Here is a relaxed CaCdNi2 crystal from Alexandria. Energies are from PBE-GGA.

Output
- Spin magnetization: 0.000 μB per formula unit
- Energy of formation from the pure elements: 214.7 meV per atom
- Uncorrected energy: -3.405 eV/atom

Cell: 4.471 4.471 9.458 Å, 76.33 76.33 90.00°
Fractional positions:
Ca 0.250 0.750 0.500
Ni 0.805 0.125 0.250
Ca 0.500 0.500 0.000
Cd 0.750 0.250 0.500
Cd 0.000 0.000 0.000
Ni 0.875 0.055 0.750
Ni 0.945 0.625 0.250
Ni 0.375 0.195 0.750

Here is a relaxed Ca2CdNi crystal from Alexandria. Energies are from PBE-GGA.

Output
- Spin magnetization: 0.000 μB per formula unit
- Energy of formation from the pure elements: 3.5 meV per atom
- Uncorrected energy: -2.671 eV/atom

Cell: 9.967 9.967 7.490 Å, 48.29 48.29 90.00°
Fractional positions:
Ni 0.500 0.500 0.000
Ca 0.875 0.718 0.750
Cd 0.750 0.250 0.500
Ca 0.282 0.625 0.250
Cd 0.000 0.000 0.000
Ca 0.468 0.125 0.250
Ni 0.250 0.750 0.500
Ca 0.375 0.532 0.750

Here is a relaxed Ca2CdNi crystal from Alexandria. Energies are from PBE-GGA.

Output
- Spin magnetization: 0.000 μB per formula unit
- Energy of formation from the pure elements: -151.6 meV per atom
- Uncorrected energy: -2.826 eV/atom

Cell: 3.587 3.450 8.557 Å, 65.99 90.00 90.00°
Fractional positions:
Cd 0.500 0.250 0.250
Ca 0.000 0.036 0.964
Ni 0.500 0.750 0.750
Ca 0.000 0.464 0.536

Here is a relaxed Ca8Cd2Ni crystal from Alexandria. Energies are from PBE-GGA.

Output
- Spin magnetization: 0.000 μB per formula unit
- Energy of formation from the pure elements: -126.7 meV per atom
- Uncorrected energy: -2.274 eV/atom

Cell: 5.522 7.180 9.819 Å, 107.45 106.33 90.00°
Fractional positions:
Ca 0.647 0.956 0.295
Ca 0.022 0.791 0.045
Cd 0.816 0.279 0.632
Ca 0.207 0.295 0.415
Ca 0.978 0.209 0.955
Ca 0.793 0.705 0.585
Ca 0.408 0.582 0.817
Ni 0.500 0.000 0.000
Ca 0.592 0.418 0.183
Cd 0.184 0.721 0.368
Ca 0.353 0.044 0.705

Here is a relaxed CaCd8Ni4 crystal from Alexandria. Energies are from PBE-GGA.

Output
- Spin magnetization: 0.000 μB per formula unit
- Energy of formation from the pure elements: -88.8 meV per atom
- Uncorrected energy: -2.585 eV/atom

Cell: 5.503 7.181 7.181 Å, 81.56 67.47 67.47°
Fractional positions:
Cd 0.500 0.222 0.778
Ni 0.500 0.000 0.500
Cd 0.332 0.668 0.668
Cd 0.000 0.332 0.668
Ni 0.000 0.500 0.000
Cd 0.722 0.778 0.778
Cd 0.500 0.778 0.222
Ni 0.500 0.500 0.000
Cd 0.278 0.222 0.222
Cd 0.668 0.332 0.332
Cd 0.000 0.668 0.332
Ni 0.000 0.000 0.500
Ca 0.000 0.000 0.000